(1)
A plane-wave DFT calculation with GGA-PBE was carried out for crystalline CsTa3V at its relaxed geometry.

Results
* offset from the most stable computed form: 1563.1 meV/atom
* DOS at the Fermi energy: 1.23 states/eV/atom
* E_form: 16.446 eV/f.u.

a b c (Å): 5.001 5.001 5.001
angles (deg): 90.00 90.00 90.00
Element x y z (fractional)
Cs 0.000 0.000 0.000
Ta 0.000 0.000 0.500
Ta 0.000 0.500 0.000
Ta 0.500 0.000 0.000
V 0.500 0.500 0.500

(2)
A plane-wave DFT calculation with GGA-PBE was carried out for crystalline CsTa2V at its relaxed geometry.

Results
* offset from the most stable computed form: 0.0 meV/atom
* DOS at the Fermi energy: 1.85 states/eV/atom
* E_form: 7.299 eV/f.u.

a b c (Å): 4.828 4.828 4.828
angles (deg): 60.00 60.00 60.00
Element x y z (fractional)
Cs 0.000 0.000 0.000
Ta 0.250 0.250 0.250
Ta 0.750 0.750 0.750
V 0.500 0.500 0.500

(3)
A plane-wave DFT calculation with GGA-PBE was carried out for crystalline CsTa2VZn at its relaxed geometry.

Results
* DOS at the Fermi energy: 0.52 states/eV/atom
* E_form: 14.769 eV/f.u.

a b c (Å): 5.043 5.043 4.673
angles (deg): 90.00 90.00 90.00
Element x y z (fractional)
Cs 0.000 0.000 0.000
Ta 0.000 0.500 0.000
Ta 0.500 0.000 0.000
V 0.000 0.000 0.500
Zn 0.500 0.500 0.500

> The lowest E_form belongs to which entry?

CsTa2V

> The lowest E_form belongs to which entry?

CsTa2V